# 1
This record from Alexandria via LeMat-Bulk describes crystalline Ce4Nd11Ho9 at its relaxed geometry. The functional is PBE.

a = 15.277 Å, b = 15.277 Å, c = 3.672 Å
α = 90.00°, β = 90.00°, γ = 112.36°
Fractional coordinates of all 24 atoms:
Ce1 0.052 0.251 0.000
Ce2 0.251 0.052 0.000
Ce3 0.749 0.948 0.000
Ce4 0.948 0.749 0.000
Nd1 0.090 0.450 0.500
Nd2 0.135 0.865 0.500
Nd3 0.207 0.207 0.500
Nd4 0.343 0.657 0.500
Nd5 0.450 0.090 0.500
Nd6 0.500 0.500 0.500
Nd7 0.550 0.910 0.500
Nd8 0.657 0.343 0.500
Nd9 0.793 0.793 0.500
Nd10 0.865 0.135 0.500
Nd11 0.910 0.550 0.500
Ho1 0.000 0.000 0.000
Ho2 0.135 0.662 0.000
Ho3 0.286 0.431 0.000
Ho4 0.338 0.865 0.000
Ho5 0.431 0.286 0.000
Ho6 0.569 0.714 0.000
Ho7 0.662 0.135 0.000
Ho8 0.714 0.569 0.000
Ho9 0.865 0.338 0.000

Output
* V: 792.5 Å³/cell
* uncorrected energy: -115.04 eV per cell
* energy of formation: 0.0974 eV/atom
* space group: Cmmm
* total magnetic moment: 0.16 μB per atom

=====

# 2
This record from Alexandria via LeMat-Bulk describes crystalline CeNdHo3 at its relaxed geometry. The functional is PBE.

a = 7.091 Å, b = 3.562 Å, c = 24.974 Å
α = 90.00°, β = 90.00°, γ = 90.00°
Fractional coordinates of all 20 atoms:
Ce1 0.120 0.250 0.152
Ce2 0.380 0.750 0.652
Ce3 0.620 0.250 0.348
Ce4 0.880 0.750 0.848
Nd1 0.132 0.250 0.553
Nd2 0.368 0.750 0.053
Nd3 0.632 0.250 0.947
Nd4 0.868 0.750 0.447
Ho1 0.122 0.250 0.948
Ho2 0.124 0.250 0.349
Ho3 0.129 0.250 0.749
Ho4 0.371 0.750 0.249
Ho5 0.376 0.750 0.849
Ho6 0.378 0.750 0.448
Ho7 0.622 0.250 0.552
Ho8 0.624 0.250 0.151
Ho9 0.629 0.250 0.751
Ho10 0.871 0.750 0.251
Ho11 0.876 0.750 0.651
Ho12 0.878 0.750 0.052

Output
* V: 630.9 Å³/cell
* uncorrected energy: -96.72 eV per cell
* energy of formation: 0.0508 eV/atom
* space group: Pnma
* energy above the most stable polymorph in this dataset: 0.0 meV/atom
* total magnetic moment: 0.13 μB per atom

=====

# 3
This record from Alexandria via LeMat-Bulk describes crystalline CeNd3Ho12 at its relaxed geometry. The functional is PBE.

a = 5.026 Å, b = 5.026 Å, c = 20.095 Å
α = 90.00°, β = 90.00°, γ = 90.00°
Fractional coordinates of all 16 atoms:
Ce1 0.000 0.000 0.000
Nd1 0.000 0.000 0.248
Nd2 0.000 0.000 0.500
Nd3 0.000 0.000 0.752
Ho1 0.000 0.500 0.122
Ho2 0.000 0.500 0.374
Ho3 0.000 0.500 0.626
Ho4 0.000 0.500 0.878
Ho5 0.500 0.000 0.122
Ho6 0.500 0.000 0.374
Ho7 0.500 0.000 0.626
Ho8 0.500 0.000 0.878
Ho9 0.500 0.500 0.000
Ho10 0.500 0.500 0.249
Ho11 0.500 0.500 0.500
Ho12 0.500 0.500 0.751

Output
* V: 507.5 Å³/cell
* uncorrected energy: -74.65 eV per cell
* energy of formation: 0.0327 eV/atom
* space group: P4/mmm
* total magnetic moment: 0.06 μB per atom

=====

# 4
This record from Alexandria via LeMat-Bulk describes crystalline CeNd4Ho at its relaxed geometry. The functional is PBE.

a = 6.293 Å, b = 6.293 Å, c = 6.278 Å
α = 99.54°, β = 99.54°, γ = 120.07°
Fractional coordinates of all 6 atoms:
Ce1 0.000 0.000 0.000
Nd1 0.164 0.836 0.500
Nd2 0.335 0.665 0.000
Nd3 0.665 0.335 0.000
Nd4 0.836 0.164 0.500
Ho1 0.500 0.500 0.500

Output
* V: 203.0 Å³/cell
* uncorrected energy: -29.21 eV per cell
* energy of formation: 0.0621 eV/atom
* space group: C2/m
* total magnetic moment: 0.19 μB per atom